# 1
{
  "formula": "Nd4HgOs",
  "functional": "PBE",
  "state": "optimized geometry",
  "lattice": [[2.685, 2.895, 6.890], [-6.990, -3.694, 0.744], [3.777, -5.117, -0.460]],
  "species": ["Os", "Os", "Hg", "Hg", "Nd", "Nd", "Nd", "Nd", "Nd", "Nd", "Nd", "Nd"],
  "fractional_positions": [[0.000, 0.000, 0.250], [0.000, 0.000, 0.750], [0.376, 0.624, 0.250], [0.624, 0.376, 0.750], [0.278, 0.938, 0.543], [0.637, 0.794, 0.904], [0.794, 0.637, 0.404], [0.206, 0.363, 0.596], [0.722, 0.062, 0.457], [0.363, 0.206, 0.096], [0.938, 0.278, 0.043], [0.062, 0.722, 0.957]],
  "formation_enthalpy_0k_ev_per_atom": -0.242,
  "space_group": "C2/c, No. 15"
}

# 2
{
  "formula": "OsC2",
  "functional": "PBE",
  "state": "optimized geometry",
  "lattice": [[4.416, 0.000, 0.000], [0.000, 2.765, 0.000], [-0.627, 0.000, 28.688]],
  "species": ["C", "C", "C", "C", "C", "C", "C", "C", "C", "C", "C", "C", "C", "C", "C", "C", "Os", "Os", "Os", "Os", "Os", "Os", "Os", "Os"],
  "fractional_positions": [[0.226, 0.000, 0.051], [0.409, 0.000, 0.017], [0.706, 0.000, 0.727], [0.955, 0.000, 0.914], [0.591, 0.000, 0.983], [0.696, 0.000, 0.156], [0.602, 0.000, 0.769], [0.463, 0.000, 0.808], [0.867, 0.000, 0.120], [0.304, 0.000, 0.844], [0.398, 0.000, 0.231], [0.045, 0.000, 0.086], [0.774, 0.000, 0.949], [0.133, 0.000, 0.880], [0.294, 0.000, 0.273], [0.537, 0.000, 0.192], [0.772, 0.000, 0.663], [0.255, 0.000, 0.527], [0.745, 0.000, 0.473], [0.239, 0.000, 0.434], [0.724, 0.000, 0.379], [0.761, 0.000, 0.566], [0.276, 0.000, 0.621], [0.228, 0.000, 0.337]],
  "e_above_lowest_polymorph_mev_per_atom": 623,
  "space_group": "P2/m, No. 10"
}

Number 1: magnetization 0.0 μB per formula unit. Number 2: magnetization 0.0 μB per formula unit.